(1)
Here is CaIr3Se after structural relaxation from Alexandria. Energies are from PBE.

Geometry as extended XYZ:
```
5
Lattice="4.846 0.000 0.000 0.000 4.846 0.000 0.000 0.000 4.846" Properties=species:S:1:pos:R:3 pbc="T T T"
Ca 0.000 0.000 0.000
Ir 0.000 0.000 2.423
Ir 0.000 2.423 0.000
Ir 2.423 0.000 0.000
Se 2.423 2.423 2.423
```

Results
Theoretical density ... 10.2 Mg/m³
Size of the total moment ... 0.5418 μB per atom

=====

(2)
Here is Ca2AlTe after structural relaxation from Alexandria. Energies are from PBE.

Geometry as extended XYZ:
```
4
Lattice="5.342 0.000 0.000 0.000 5.342 0.000 0.000 0.000 3.967" Properties=species:S:1:pos:R:3 pbc="T T T"
Ca 0.000 2.671 0.000
Ca 2.671 0.000 0.000
Al 0.000 0.000 1.983
Te 2.671 2.671 1.983
```

Results
Theoretical density ... 3.4 Mg/m³
Size of the total moment ... 0.0000 μB per atom

=====

Results for E above lowest polymorph: 1902; 82 (in meV per atom, following the order of the records).